[1]
## HfTl3Bi (PBE-GGA)

Data for an optimized crystal structure of HfTl3Bi.

Values from the calculation:
As for the energy relative to the lowest polymorph listed for this composition: 0 meV/atom. The formation energy is 0.6150 eV per atom.

abc: 5.6433 5.6433 5.6433
angles: 90.00 90.00 90.00
Space group Pm-3m (No. 221)
Asymmetric unit:
Hf: 0.0000 0.0000 0.0000
Tl: 0.0000 0.0000 0.5000
Bi: 0.5000 0.5000 0.5000


[2]
## K3Ho2TmTe6 (PBE-GGA)

Data for an optimized crystal structure of K3Ho2TmTe6.

Values from the calculation:
The uncorrected formation energy is -16.60 eV/f.u.

abc: 7.7430 13.4120 8.6339
angles: 90.00 107.38 90.00
Space group C2/m (No. 12)
Asymmetric unit:
K: 0.0000 0.0000 0.0000
K: 0.0000 0.3327 0.0000
Ho: 0.0000 0.1665 0.5000
Tm: 0.0000 0.5000 0.5000
Te: 0.2346 0.3342 0.7069
Te: 0.2377 0.0000 0.7073


[3]
## Na2CaBiO4 (PBE-GGA)

Data for an optimized crystal structure of Na2CaBiO4.

Values from the calculation:
The uncorrected formation energy is -13.93 eV/f.u.

abc: 5.9272 3.4617 5.9569
angles: 90.00 109.02 90.00
Space group P2/m (No. 10)
Asymmetric unit:
Na: 0.0000 0.0000 0.0000
Na: 0.5000 0.5000 0.0000
Ca: 0.0000 0.5000 0.5000
Bi: 0.5000 0.0000 0.5000
O: 0.2533 0.0000 0.7171
O: 0.2688 0.5000 0.2758